Here is crystalline Li2MgSc at its relaxed geometry from Alexandria. Energies are from PBEsol.

Cell and atoms, written as CIF:
```
data_Li2MgSc
_chemical_formula_sum 'Li2 Mg1 Sc1'
_cell_length_a 3.335
_cell_length_b 3.335
_cell_length_c 7.412
_cell_angle_alpha 90.00
_cell_angle_beta 90.00
_cell_angle_gamma 90.00
_symmetry_space_group_name_H-M 'P 4 m m'
_symmetry_Int_Tables_number 99
loop_
_symmetry_equiv_pos_as_xyz
'x,y,z'
'-y,x,z'
'-x,-y,z'
'y,-x,z'
'-x,y,z'
'y,x,z'
'x,-y,z'
'-y,-x,z'
loop_
_atom_site_label
_atom_site_type_symbol
_atom_site_fract_x
_atom_site_fract_y
_atom_site_fract_z
_atom_site_occupancy
Li1 Li 0.000 0.000 0.000 1
Li2 Li 0.500 0.500 0.213 1
Mg1 Mg 0.000 0.000 0.455 1
Sc1 Sc 0.500 0.500 0.732 1
```

Computed properties:
Fermi-level density of states in states/eV per cell: 3.9
Energy in eV/atom: -3.009
Crystal system: tetragonal